First-principles (PBEsol) data for Ce3Mg after structural relaxation, as listed in Alexandria via LeMat-Bulk.

The density of states at the Fermi level is 19.01 states/eV/cell. For the formation energy from the elements, the calculation gives 90 meV/atom.

It has space group Imm2 (No. 44), with a = 3.077 Å, b = 10.928 Å, c = 5.661 Å, α = 90.00°, β = 90.00° and γ = 90.00°. The distinct sites, in fractional coordinates, are Ce at (0.000, 0.000, 0.000), Ce at (0.000, 0.268, 0.542) and Mg at (0.000, 0.500, 0.998).